Entry from the Alexandria database: an optimized crystal structure of Li5Ni2O2F5 (GGA+U).

Calculated values
The total moment is 0.286 μB/atom. As for the total DFT energy (no corrections): -67.4 eV for the cell shown.

Cell and atoms, written as POSCAR:
```
Li5Ni2O2F5
1.0
-1.4663 1.4663 14.4418
1.4663 -1.4663 14.4418
1.4663 1.4663 -14.4418
Li Ni O F
5 2 2 5
direct
0.0000 0.0000 0.0000 Li
0.1407 0.1407 0.0000 Li
0.4307 0.4307 0.0000 Li
0.5693 0.5693 0.0000 Li
0.8593 0.8593 0.0000 Li
0.2859 0.2859 0.0000 Ni
0.7141 0.7141 0.0000 Ni
0.2127 0.2127 0.0000 O
0.7873 0.7873 0.0000 O
0.0697 0.0697 0.0000 F
0.3613 0.3613 0.0000 F
0.5000 0.5000 0.0000 F
0.6387 0.6387 0.0000 F
0.9303 0.9303 0.0000 F
```